Below is a relaxed structure of Pa2Co2Si3, with properties calculated at the GGA-PBE level.

* total DFT energy (no corrections): -7.649 eV/atom

a = 5.034 Å, b = 5.034 Å, c = 6.454 Å
α = 106.86°, β = 106.86°, γ = 46.91°
Element x y z (fractional)
Pa 0.151 0.151 0.286
Pa 0.849 0.849 0.714
Co 0.134 0.134 0.761
Co 0.866 0.866 0.239
Si 0.389 0.389 0.063
Si 0.500 0.500 0.500
Si 0.611 0.611 0.937



Below is a relaxed structure of BaMgP, with properties calculated at the GGA-PBE level.

* total DFT energy (no corrections): -2.917 eV/atom

a = 5.247 Å, b = 5.247 Å, c = 5.247 Å
α = 60.00°, β = 60.00°, γ = 60.00°
Element x y z (fractional)
Ba 0.000 0.000 0.000
Mg 0.750 0.750 0.750
P 0.250 0.250 0.250



Below is a relaxed structure of LaEr2Se4, with properties calculated at the GGA-PBE level.

* total DFT energy (no corrections): -5.831 eV/atom

a = 7.892 Å, b = 7.892 Å, c = 7.892 Å
α = 108.95°, β = 108.95°, γ = 110.51°
Element x y z (fractional)
La 0.000 0.000 0.000
La 0.750 0.250 0.500
Er 0.342 0.625 0.217
Er 0.375 0.592 0.717
Er 0.408 0.125 0.783
Er 0.875 0.658 0.283
Se 0.041 0.385 0.287
Se 0.098 0.754 0.713
Se 0.135 0.291 0.787
Se 0.246 0.959 0.344
Se 0.504 0.348 0.213
Se 0.615 0.902 0.656
Se 0.652 0.865 0.156
Se 0.709 0.496 0.844



Below is a relaxed structure of Pm3Dy12In, with properties calculated at the GGA-PBE level.

* total DFT energy (no corrections): -4.556 eV/atom

a = 4.977 Å, b = 4.977 Å, c = 20.198 Å
α = 90.00°, β = 90.00°, γ = 90.00°
Element x y z (fractional)
Pm 0.000 0.000 0.000
Pm 0.000 0.000 0.252
Pm 0.000 0.000 0.748
Dy 0.000 0.500 0.127
Dy 0.000 0.500 0.380
Dy 0.000 0.500 0.620
Dy 0.000 0.500 0.873
Dy 0.500 0.000 0.127
Dy 0.500 0.000 0.380
Dy 0.500 0.000 0.620
Dy 0.500 0.000 0.873
Dy 0.500 0.500 0.000
Dy 0.500 0.500 0.257
Dy 0.500 0.500 0.500
Dy 0.500 0.500 0.743
In 0.000 0.000 0.500



Below is a relaxed structure of TaCuPt, with properties calculated at the GGA-PBE level.

* total DFT energy (no corrections): -7.730 eV/atom

a = 4.783 Å, b = 4.783 Å, c = 4.844 Å
α = 98.45°, β = 98.45°, γ = 120.15°
Element x y z (fractional)
Ta 0.246 0.754 0.750
Ta 0.754 0.246 0.250
Cu 0.423 0.577 0.250
Cu 0.577 0.423 0.750
Pt 0.088 0.912 0.250
Pt 0.912 0.088 0.750



Below is a relaxed structure of SiHg4Au, with properties calculated at the GGA-PBE level.

* total DFT energy (no corrections): -1.104 eV/atom

a = 5.825 Å, b = 5.825 Å, c = 5.825 Å
α = 60.00°, β = 60.00°, γ = 60.00°
Element x y z (fractional)
Si 0.000 0.000 0.000
Hg 0.375 0.375 0.375
Hg 0.375 0.375 0.875
Hg 0.375 0.875 0.375
Hg 0.875 0.375 0.375
Au 0.750 0.750 0.750



One value per record, in order, for calculated volume: 113.3 102.1 378.3 500.2 91.6 139.8 Å³/cell.
One value per record, in order, for total magnetization: 0.000 0.000 0.000 0.002 0.000 0.000 μB/f.u..